DFT (PBE-GGA) results for a relaxed Ac3Pm2Mg2 crystal.

Structure (CIF):
```
data_Ac3Pm2Mg2
_space_group_name_H-M_alt 'P 1'
_space_group_IT_number 1
_space_group_name_Hall 'P 1'
_cell_length_a 5.4955
_cell_length_b 3.7501
_cell_length_c 12.7526
_cell_angle_alpha 90.00
_cell_angle_beta 77.56
_cell_angle_gamma 90.00
loop_
_atom_site_label
_atom_site_fract_x
_atom_site_fract_y
_atom_site_fract_z
Ac1 0.0000 0.0000 0.0000
Ac2 0.8514 0.0000 0.2973
Ac3 0.1486 0.0000 0.7027
Mg1 0.4292 0.5000 0.1416
Mg2 0.5708 0.5000 0.8584
Pm1 0.2855 0.5000 0.4289
Pm2 0.7145 0.5000 0.5711
```

Results
Raw total energy   -3.504 eV/atom
Symmetry   No. 65
Energy of formation   0.07 eV per atom